Compound: Ba2AlMo
Source: Alexandria
Functional: GGA-PBE
Structure: relaxed Values from VASP.

```
&SYSTEM
  ibrav = 0, nat = 4, ntyp = 3
/
ATOMIC_SPECIES
Ba 137.33 Ba.upf
Mo 95.94 Mo.upf
Al 26.98 Al.upf
CELL_PARAMETERS angstrom
-2.830 1.407 -1.902
-0.115 -3.044 -2.080
-6.146 -3.997 6.188
ATOMIC_POSITIONS angstrom
Ba -5.619 -3.653 5.656
Mo -3.667 -2.385 3.692
Al -5.512 -3.446 2.076
Ba -3.513 -2.146 0.063
```

- Volume: 130.6 Å³/cell
- Size of the total moment: 0.0 μB per formula unit
- DFT total energy: -17.0 eV/f.u.

Compound: BaAl2Mo
Source: Alexandria
Functional: GGA-PBE
Structure: relaxed Values from VASP.

```
&SYSTEM
  ibrav = 0, nat = 4, ntyp = 3
/
ATOMIC_SPECIES
Al 26.98 Al.upf
Ba 137.33 Ba.upf
Mo 95.94 Mo.upf
CELL_PARAMETERS angstrom
-3.857 2.953 -0.320
-4.866 0.112 -0.052
-0.974 0.993 6.851
ATOMIC_POSITIONS angstrom
Al -0.086 0.053 0.238
Ba -4.729 1.984 3.220
Al -7.233 3.084 5.447
Mo -2.498 0.965 0.813
```

- Volume: 96.9 Å³/cell
- Size of the total moment: 0.0 μB per formula unit
- DFT total energy: -18.7 eV/f.u.
- Energy relative to the lowest polymorph listed for this composition: 28.0 kJ/mol of atoms

Compound: BaAl2Mo
Source: Alexandria
Functional: GGA-PBE
Structure: relaxed Values from VASP.

```
&SYSTEM
  ibrav = 0, nat = 4, ntyp = 3
/
ATOMIC_SPECIES
Ba 137.33 Ba.upf
Al 26.98 Al.upf
Mo 95.94 Mo.upf
CELL_PARAMETERS angstrom
-2.012 -10.051 1.558
-0.640 -10.271 -1.263
1.121 -10.220 1.342
ATOMIC_POSITIONS angstrom
Ba -0.383 -7.635 0.409
Al -0.026 -0.520 0.028
Mo -1.148 -22.906 1.228
Al -0.739 -14.750 0.791
```

- Volume: 87.5 Å³/cell
- Size of the total moment: 0.4 μB per formula unit
- DFT total energy: -18.5 eV/f.u.
- Energy relative to the lowest polymorph listed for this composition: 30.8 kJ/mol of atoms

Compound: BaAl4Mo
Source: Alexandria
Functional: GGA-PBE
Structure: relaxed Values from VASP.

```
&SYSTEM
  ibrav = 0, nat = 6, ntyp = 3
/
ATOMIC_SPECIES
Al 26.98 Al.upf
Mo 95.94 Mo.upf
Ba 137.33 Ba.upf
CELL_PARAMETERS angstrom
0.000 3.910 3.910
3.910 0.000 3.910
3.910 3.910 0.000
ATOMIC_POSITIONS angstrom
Al 4.897 4.897 2.923
Al 2.923 2.923 2.923
Mo 0.000 0.000 0.000
Al 4.897 2.923 4.897
Ba 5.865 5.865 5.865
Al 2.923 4.897 4.897
```

- Volume: 119.5 Å³/cell
- Size of the total moment: 0.0 μB per formula unit
- DFT total energy: -26.4 eV/f.u.

Compound: Ba2AlMo
Source: Alexandria
Functional: GGA-PBE
Structure: relaxed Values from VASP.

```
&SYSTEM
  ibrav = 0, nat = 4, ntyp = 3
/
ATOMIC_SPECIES
Mo 95.94 Mo.upf
Ba 137.33 Ba.upf
Al 26.98 Al.upf
CELL_PARAMETERS angstrom
-2.832 2.302 2.784
-0.498 -1.310 4.371
5.456 5.571 4.655
ATOMIC_POSITIONS angstrom
Mo 0.243 2.627 5.619
Ba 0.831 4.320 8.609
Al 1.352 2.296 3.236
Ba -2.569 1.595 7.405
```

- Volume: 158.7 Å³/cell
- Size of the total moment: 1.2 μB per formula unit
- DFT total energy: -16.8 eV/f.u.

Compound: BaAl2Mo
Source: Alexandria
Functional: GGA-PBE
Structure: relaxed Values from VASP.

```
&SYSTEM
  ibrav = 0, nat = 4, ntyp = 3
/
ATOMIC_SPECIES
Ba 137.33 Ba.upf
Al 26.98 Al.upf
Mo 95.94 Mo.upf
CELL_PARAMETERS angstrom
2.280 -4.260 1.542
-2.358 -4.462 -0.499
1.648 -3.372 -3.411
ATOMIC_POSITIONS angstrom
Ba 0.785 -6.047 -1.184
Al 0.393 -3.024 -0.592
Mo 0.000 0.000 0.000
Al 1.178 -9.071 -1.775
```

- Volume: 92.3 Å³/cell
- Size of the total moment: 2.6 μB per formula unit
- DFT total energy: -17.7 eV/f.u.
- Energy relative to the lowest polymorph listed for this composition: 50.1 kJ/mol of atoms

Compound: BaAl2Mo
Source: Alexandria
Functional: GGA-PBE
Structure: relaxed Values from VASP.

```
&SYSTEM
  ibrav = 0, nat = 4, ntyp = 3
/
ATOMIC_SPECIES
Ba 137.33 Ba.upf
Mo 95.94 Mo.upf
Al 26.98 Al.upf
CELL_PARAMETERS angstrom
-0.868 3.325 -0.241
-4.369 -1.262 -1.661
-1.809 -0.121 4.848
ATOMIC_POSITIONS angstrom
Ba -1.339 1.602 2.303
Mo -3.089 -0.691 1.593
Al -2.619 1.032 -0.951
Al 0.000 0.000 0.000
```

- Volume: 86.3 Å³/cell
- Size of the total moment: 0.0 μB per formula unit
- DFT total energy: -16.9 eV/f.u.
- Energy relative to the lowest polymorph listed for this composition: 71.0 kJ/mol of atoms

Compound: BaAl2Mo
Source: Alexandria
Functional: GGA-PBE
Structure: relaxed Values from VASP.

```
&SYSTEM
  ibrav = 0, nat = 8, ntyp = 3
/
ATOMIC_SPECIES
Al 26.98 Al.upf
Mo 95.94 Mo.upf
Ba 137.33 Ba.upf
CELL_PARAMETERS angstrom
5.284 0.000 0.000
0.000 5.284 0.000
2.642 2.642 8.869
ATOMIC_POSITIONS angstrom
Al 2.636 3.963 2.217
Mo 2.642 2.642 0.000
Al 2.648 1.321 2.217
Mo 2.642 5.284 4.434
Al 3.963 5.279 6.651
Ba 5.284 2.642 4.434
Al 6.606 5.290 6.651
Ba 0.000 0.000 0.000
```

- Volume: 247.7 Å³/cell
- Size of the total moment: 1.8 μB per formula unit
- DFT total energy: -18.0 eV/f.u.
- Energy relative to the lowest polymorph listed for this composition: 43.4 kJ/mol of atoms

Compound: Ba2AlMo
Source: Alexandria
Functional: GGA-PBE
Structure: relaxed Values from VASP.

```
&SYSTEM
  ibrav = 0, nat = 4, ntyp = 3
/
ATOMIC_SPECIES
Ba 137.33 Ba.upf
Mo 95.94 Mo.upf
Al 26.98 Al.upf
CELL_PARAMETERS angstrom
-0.047 -4.139 -2.239
4.216 -1.332 2.374
-1.251 -3.112 5.779
ATOMIC_POSITIONS angstrom
Ba 3.023 -4.128 7.566
Mo 2.124 -2.581 4.726
Ba 0.705 -3.465 1.444
Al 1.515 -5.076 4.406
```

- Volume: 146.3 Å³/cell
- Size of the total moment: 2.0 μB per formula unit
- DFT total energy: -16.3 eV/f.u.

Compound: BaAl2Mo
Source: Alexandria
Functional: GGA-PBE
Structure: relaxed Values from VASP.

```
&SYSTEM
  ibrav = 0, nat = 4, ntyp = 3
/
ATOMIC_SPECIES
Ba 137.33 Ba.upf
Al 26.98 Al.upf
Mo 95.94 Mo.upf
CELL_PARAMETERS angstrom
-1.858 -4.766 1.203
2.633 -3.265 -3.166
1.903 3.688 3.224
ATOMIC_POSITIONS angstrom
Ba 2.462 -1.796 -0.462
Al 0.387 -4.015 -0.981
Al 0.000 0.000 0.000
Mo 0.216 -2.547 1.723
```

- Volume: 86.2 Å³/cell
- Size of the total moment: 0.3 μB per formula unit
- DFT total energy: -17.8 eV/f.u.
- Energy relative to the lowest polymorph listed for this composition: 48.9 kJ/mol of atoms

Compound: Ba2AlMo
Source: Alexandria
Functional: GGA-PBE
Structure: relaxed Values from VASP.

```
&SYSTEM
  ibrav = 0, nat = 4, ntyp = 3
/
ATOMIC_SPECIES
Ba 137.33 Ba.upf
Al 26.98 Al.upf
Mo 95.94 Mo.upf
CELL_PARAMETERS angstrom
4.139 0.000 0.000
0.000 4.181 0.005
0.000 4.170 7.895
ATOMIC_POSITIONS angstrom
Ba 0.000 4.175 3.948
Al 2.070 6.263 5.925
Mo 2.070 2.088 1.975
Ba 0.000 4.182 0.007
```

- Volume: 136.6 Å³/cell
- Size of the total moment: 3.7 μB per formula unit
- DFT total energy: -15.1 eV/f.u.

Compound: BaAl2Mo
Source: Alexandria
Functional: GGA-PBE
Structure: relaxed Values from VASP.

```
&SYSTEM
  ibrav = 0, nat = 4, ntyp = 3
/
ATOMIC_SPECIES
Al 26.98 Al.upf
Mo 95.94 Mo.upf
Ba 137.33 Ba.upf
CELL_PARAMETERS angstrom
6.309 0.004 0.001
3.225 5.422 -0.001
-3.924 -4.193 2.611
ATOMIC_POSITIONS angstrom
Al 0.146 0.083 0.000
Mo 1.694 1.778 1.305
Al 3.861 -0.576 1.306
Ba 4.675 2.661 0.000
```

- Volume: 89.3 Å³/cell
- Size of the total moment: 0.0 μB per formula unit
- DFT total energy: -17.9 eV/f.u.
- Energy relative to the lowest polymorph listed for this composition: 46.2 kJ/mol of atoms